# Fe2CuBr | the Alexandria database | PBE | optimized geometry
data_Fe2CuBr
_symmetry_space_group_name_H-M 'I m m 2'
_symmetry_Int_Tables_number 44
_cell_length_a 3.0629
_cell_length_b 3.8969
_cell_length_c 11.5291
_cell_angle_alpha 90.00
_cell_angle_beta 90.00
_cell_angle_gamma 90.00
loop_
_symmetry_equiv_pos_as_xyz
'x,y,z'
'-x,-y,z'
'-x,y,z'
'x,-y,z'
'x+1/2,y+1/2,z+1/2'
'-x+1/2,-y+1/2,z+1/2'
'-x+1/2,y+1/2,z+1/2'
'x+1/2,-y+1/2,z+1/2'
loop_
_atom_site_label
_atom_site_type_symbol
_atom_site_fract_x
_atom_site_fract_y
_atom_site_fract_z
_atom_site_occupancy
Fe1 Fe 0.0000 0.0000 0.0000 1
Fe2 Fe 0.0000 0.5000 0.3348 1
Cu1 Cu 0.0000 0.0000 0.4616 1
Br1 Br 0.0000 0.5000 0.6957 1
# * total magnetic moment: 6.005 μB/f.u.
# * E_form (uncorrected): 0.484 eV/atom